i | A plane-wave DFT calculation with PBE-GGA was carried out for a relaxed NaSr3Ni crystal.

Properties
The magnetic moment is 0.00 μB per cell. Its space-group type is P1, No. 1.

Cell lengths 8.050, 4.206, 12.528 Å; angles 89.96, 95.25, 105.09 degrees
Fractional coordinates of all 10 atoms:
1 Na 0.004 0.070 0.091
2 Na 0.211 0.179 0.861
3 Sr 0.409 0.775 0.635
4 Sr 0.806 0.473 0.317
5 Sr 0.908 0.023 0.591
6 Sr 0.469 0.806 0.094
7 Sr 0.746 0.443 0.858
8 Sr 0.307 0.225 0.361
9 Ni 0.594 0.867 0.432
10 Ni 0.621 0.380 0.519

=====

ii | A plane-wave DFT calculation with PBE-GGA was carried out for a relaxed NaSr3Ni crystal.

Properties
The magnetic moment is 0.00 μB per cell. Its space-group type is P1, No. 1.

Cell lengths 6.716, 4.197, 14.720 Å; angles 81.87, 85.19, 89.98 degrees
Fractional coordinates of all 10 atoms:
1 Na 0.469 0.345 0.139
2 Na 0.997 0.882 0.062
3 Sr 0.584 0.594 0.642
4 Sr 0.931 0.262 0.302
5 Sr 0.080 0.132 0.565
6 Sr 0.532 0.962 0.907
7 Sr 0.047 0.501 0.825
8 Sr 0.434 0.725 0.378
9 Ni 0.839 0.685 0.459
10 Ni 0.680 0.174 0.481

=====

iii | A plane-wave DFT calculation with PBE-GGA was carried out for a relaxed NaSr3Ni crystal.

Properties
The magnetic moment is 0.00 μB per cell. Its space-group type is I-4m2, No. 119.

Cell lengths 6.631, 6.631, 13.820 Å; angles 76.12, 76.12, 90.00 degrees
Fractional coordinates of all 10 atoms:
1 Sr 0.624 0.867 0.266
2 Sr 0.133 0.376 0.734
3 Sr 0.133 0.890 0.734
4 Sr 0.110 0.867 0.266
5 Sr 0.278 0.278 0.443
6 Sr 0.722 0.722 0.557
7 Na 0.000 0.000 0.000
8 Na 0.250 0.750 0.500
9 Ni 0.706 0.206 0.588
10 Ni 0.794 0.294 0.412

=====

Least stable of them? iii.

=====

i | A plane-wave DFT calculation with PBE-GGA was carried out for a relaxed NaSr3Ni crystal.

Properties
The magnetic moment is 0.00 μB per cell. Its space-group type is P6_3/mmc, No. 194.

Cell lengths 5.003, 5.003, 21.222 Å; angles 90.00, 90.00, 120.00 degrees
Fractional coordinates of all 10 atoms:
1 Sr 0.000 0.000 0.250
2 Sr 0.000 0.000 0.750
3 Sr 0.333 0.667 0.886
4 Sr 0.333 0.667 0.614
5 Sr 0.667 0.333 0.386
6 Sr 0.667 0.333 0.114
7 Na 0.000 0.000 0.000
8 Na 0.000 0.000 0.500
9 Ni 0.333 0.667 0.750
10 Ni 0.667 0.333 0.250

=====

ii | A plane-wave DFT calculation with PBE-GGA was carried out for a relaxed NaSr3Ni crystal.

Properties
The magnetic moment is 0.00 μB per cell. Its space-group type is C2/c, No. 15.

Cell lengths 13.842, 9.936, 9.936 Å; angles 96.67, 128.38, 51.62 degrees
Fractional coordinates of all 20 atoms:
1 Sr 0.481 0.204 0.419
2 Sr 0.019 0.919 0.704
3 Sr 0.519 0.796 0.581
4 Sr 0.981 0.081 0.296
5 Sr 0.082 0.249 0.087
6 Sr 0.418 0.587 0.749
7 Sr 0.918 0.751 0.913
8 Sr 0.582 0.413 0.251
9 Sr 0.501 0.115 0.855
10 Sr 0.999 0.355 0.615
11 Sr 0.499 0.885 0.145
12 Sr 0.001 0.645 0.385
13 Na 0.750 0.264 0.764
14 Na 0.250 0.736 0.236
15 Na 0.750 0.569 0.069
16 Na 0.250 0.431 0.931
17 Ni 0.184 0.204 0.463
18 Ni 0.316 0.963 0.704
19 Ni 0.816 0.796 0.537
20 Ni 0.684 0.037 0.296

=====

Least stable of them? i.

=====

i | A plane-wave DFT calculation with PBE-GGA was carried out for a relaxed NaSr3Ni crystal.

Properties
The magnetic moment is 0.00 μB per cell. Its space-group type is Pm-3m, No. 221.

Cell lengths 6.182, 6.182, 6.182 Å; angles 90.00, 90.00, 90.00 degrees
Fractional coordinates of all 5 atoms:
1 Sr 0.000 0.500 0.000
2 Sr 0.000 0.000 0.500
3 Sr 0.500 0.000 0.000
4 Na 0.000 0.000 0.000
5 Ni 0.500 0.500 0.500

=====

ii | A plane-wave DFT calculation with PBE-GGA was carried out for a relaxed NaSr3Ni crystal.

Properties
The magnetic moment is 0.00 μB per cell. Its space-group type is P2_1/c, No. 14.

Cell lengths 26.607, 7.398, 10.298 Å; angles 90.00, 157.48, 90.00 degrees
Fractional coordinates of all 20 atoms:
1 Sr 0.193 0.064 0.615
2 Sr 0.807 0.936 0.385
3 Sr 0.307 0.564 0.885
4 Sr 0.693 0.436 0.115
5 Sr 0.317 0.302 0.257
6 Sr 0.683 0.698 0.743
7 Sr 0.183 0.802 0.243
8 Sr 0.817 0.198 0.757
9 Sr 0.562 0.764 0.097
10 Sr 0.438 0.236 0.903
11 Sr 0.938 0.264 0.403
12 Sr 0.062 0.736 0.597
13 Na 0.443 0.850 0.486
14 Na 0.557 0.150 0.514
15 Na 0.057 0.350 0.014
16 Na 0.943 0.650 0.986
17 Ni 0.088 0.375 0.518
18 Ni 0.912 0.625 0.482
19 Ni 0.412 0.875 0.982
20 Ni 0.588 0.125 0.018

=====

Least stable of them? i.